A plane-wave DFT calculation with PBE-GGA was carried out for a relaxed structure of Ca2BiF2.

Computed properties:
ΔE_f (raw) (eV/atom): -2.678
SG: I4/mmm (139)
Total magnetization (μB per atom): 0.00

a = 3.8983 Å, b = 3.8983 Å, c = 7.4201 Å
α = 105.23°, β = 105.23°, γ = 90.00°
Element x y z (fractional)
Ca 0.3454 0.3454 0.6908
Bi 0.0000 0.0000 0.0000
F 0.7500 0.2500 0.5000
Ca 0.6546 0.6546 0.3092
F 0.2500 0.7500 0.5000

---

A plane-wave DFT calculation with PBE-GGA was carried out for a relaxed structure of CaBiF2.

Computed properties:
ΔE_f (raw) (eV/atom): -2.669
Energy above the lowest structure with this stoichiometry (meV per atom): 0
SG: R-3m (166)
Total magnetization (μB per atom): 0.00

a = 9.7098 Å, b = 9.7098 Å, c = 9.7098 Å
α = 20.69°, β = 20.69°, γ = 20.69°
Element x y z (fractional)
Bi 0.0000 0.0000 0.0000
F 0.8691 0.8691 0.8691
Ca 0.5000 0.5000 0.5000
F 0.1309 0.1309 0.1309

---

A plane-wave DFT calculation with PBE-GGA was carried out for a relaxed structure of CaBiF5.

Computed properties:
ΔE_f (raw) (eV/atom): -3.032
Energy above the lowest structure with this stoichiometry (meV per atom): 35
SG: C2/c (15)
Total magnetization (μB per atom): 0.00

a = 6.0812 Å, b = 6.0812 Å, c = 8.4786 Å
α = 69.72°, β = 69.72°, γ = 72.08°
Element x y z (fractional)
F 0.7181 0.7805 0.1337
Ca 0.4717 0.5283 0.2500
F 0.3257 0.7016 0.5456
F 0.1321 0.8679 0.2500
F 0.2984 0.6743 0.9544
F 0.7805 0.7181 0.6337
Ca 0.5283 0.4717 0.7500
F 0.7016 0.3257 0.0456
F 0.2819 0.2195 0.8663
Bi 0.0000 0.0000 0.0000
Bi 0.0000 0.0000 0.5000
F 0.2195 0.2819 0.3663
F 0.6743 0.2984 0.4544
F 0.8679 0.1321 0.7500

---

A plane-wave DFT calculation with PBE-GGA was carried out for a relaxed structure of CaBiF2.

Computed properties:
ΔE_f (raw) (eV/atom): -2.316
Energy above the lowest structure with this stoichiometry (meV per atom): 353
SG: I-42d (122)
Total magnetization (μB per atom): 0.00

a = 6.4557 Å, b = 6.4557 Å, c = 6.5818 Å
α = 60.63°, β = 60.63°, γ = 90.00°
Element x y z (fractional)
Bi 0.0000 0.0000 0.0000
F 0.8750 0.7385 0.7500
Bi 0.7500 0.2500 0.5000
F 0.4885 0.1250 0.2500
F 0.3750 0.5115 0.7500
F 0.2615 0.6250 0.2500
Ca 0.5000 0.5000 0.0000
Ca 0.2500 0.7500 0.5000

---

A plane-wave DFT calculation with PBE-GGA was carried out for a relaxed structure of CaBiF2.

Computed properties:
ΔE_f (raw) (eV/atom): -1.706
Energy above the lowest structure with this stoichiometry (meV per atom): 963
SG: R-3m (166)
Total magnetization (μB per atom): 0.00

a = 8.6910 Å, b = 8.6910 Å, c = 8.6910 Å
α = 23.50°, β = 23.50°, γ = 23.50°
Element x y z (fractional)
Ca 0.0000 0.0000 0.0000
Bi 0.5000 0.5000 0.5000
F 0.9164 0.9164 0.9164
F 0.0836 0.0836 0.0836

---

A plane-wave DFT calculation with PBE-GGA was carried out for a relaxed structure of Ca3Bi2F.

Computed properties:
ΔE_f (raw) (eV/atom): -1.427
Energy above the lowest structure with this stoichiometry (meV per atom): 153
SG: Cmcm (63)
Total magnetization (μB per atom): 0.00

a = 6.8161 Å, b = 7.1242 Å, c = 7.1242 Å
α = 103.35°, β = 90.00°, γ = 90.00°
Element x y z (fractional)
Ca 0.2612 0.3524 0.3524
Bi 0.2614 0.5425 0.8433
F 0.2612 0.0782 0.0782
Ca 0.0114 0.1626 0.8374
Ca 0.7612 0.6476 0.6476
Ca 0.0114 0.8374 0.1626
Bi 0.2614 0.8433 0.5425
Ca 0.5114 0.1626 0.8374
F 0.7612 0.9218 0.9218
Ca 0.5114 0.8374 0.1626
Bi 0.7614 0.1567 0.4575
Bi 0.7614 0.4575 0.1567

---

A plane-wave DFT calculation with PBE-GGA was carried out for a relaxed structure of CaBiF3.

Computed properties:
ΔE_f (raw) (eV/atom): -1.820
Energy above the lowest structure with this stoichiometry (meV per atom): 617
SG: Pm-3m (221)
Total magnetization (μB per atom): 0.00

a = 4.8039 Å, b = 4.8039 Å, c = 4.8039 Å
α = 90.00°, β = 90.00°, γ = 90.00°
Element x y z (fractional)
F 0.0000 0.0000 0.5000
Bi 0.0000 0.0000 0.0000
Ca 0.5000 0.5000 0.5000
F 0.5000 0.0000 0.0000
F 0.0000 0.5000 0.0000

---

A plane-wave DFT calculation with PBE-GGA was carried out for a relaxed structure of Ca2BiF.

Computed properties:
ΔE_f (raw) (eV/atom): -1.952
Energy above the lowest structure with this stoichiometry (meV per atom): 50
SG: P4/nmm (129)
Total magnetization (μB per atom): 0.00

a = 4.7265 Å, b = 4.7265 Å, c = 8.9250 Å
α = 90.00°, β = 90.00°, γ = 90.00°
Element x y z (fractional)
Ca 0.7500 0.2500 0.5000
F 0.7501 0.7501 0.5820
Ca 0.7502 0.7502 0.8502
Ca 0.2500 0.7500 0.5000
F 0.2499 0.2499 0.4180
Ca 0.2498 0.2498 0.1498
Bi 0.7499 0.7499 0.2150
Bi 0.2501 0.2501 0.7850